1.
## Rb2VAsAu (PBE-GGA)

Data for crystalline Rb2VAsAu at its relaxed geometry.

The value obtained for the formation energy is 19.0 kJ/mol of atoms. The total energy is -3.5991 eV per atom. The mass density comes out at 3.78 Mg/m³.

It has space group P4/mmm (No. 123), with a = 6.733 Å, b = 6.733 Å, c = 4.783 Å, α = 90.00°, β = 90.00° and γ = 90.00°. The distinct sites, in fractional coordinates, are Rb at (0.000, 0.500, 0.000), V at (0.000, 0.000, 0.500), As at (0.000, 0.000, 0.000) and Au at (0.500, 0.500, 0.500).

2.
## RbTeSe (PBE-GGA)

Data for crystalline RbTeSe at its relaxed geometry.

The distance to the lowest polymorph of the same formula is 30.9 meV per atom. The total energy is -3.1555 eV per atom. The mass density comes out at 4.08 Mg/m³. The formation energy from raw total energies is -0.624 eV per atom.

It has space group P1 (No. 1), with a = 5.580 Å, b = 5.786 Å, c = 7.832 Å, α = 89.49°, β = 72.81° and γ = 80.13°. The distinct sites, in fractional coordinates, are Rb at (0.000, 0.000, 0.000), Rb at (0.232, 0.082, 0.454), Te at (0.546, 0.551, 0.148), Te at (0.694, 0.657, 0.701), Se at (0.586, 0.110, 0.742) and Se at (0.861, 0.596, 0.336).

3.
## Sm3DyHo (PBE-GGA)

Data for crystalline Sm3DyHo at its relaxed geometry.

The distance to the lowest polymorph of the same formula is 284.4 meV per atom. The value obtained for the formation energy is 29.2 kJ/mol of atoms. The total energy is -4.3648 eV per atom. The mass density comes out at 7.26 Mg/m³.

It has space group P2_1/m (No. 11), with a = 3.622 Å, b = 11.738 Å, c = 8.570 Å, α = 90.00°, β = 102.18° and γ = 90.00°. The distinct sites, in fractional coordinates, are Sm at (0.149, 0.002, 0.298), Sm at (0.313, 0.250, 0.625), Dy at (0.014, 0.750, 0.029) and Ho at (0.349, 0.750, 0.699).

4.
## Ac6P2IrSe3 (PBE-GGA)

Data for crystalline Ac6P2IrSe3 at its relaxed geometry.

The total energy is -6.1417 eV per atom. The mass density comes out at 8.17 Mg/m³. The formation energy from raw total energies is -1.576 eV per atom.

It has space group C2/m (No. 12), with a = 19.437 Å, b = 4.407 Å, c = 9.069 Å, α = 90.00°, β = 104.14° and γ = 90.00°. The distinct sites, in fractional coordinates, are Ac at (0.003, 0.000, 0.235), Ac at (0.159, 0.500, 0.091), Ac at (0.171, 0.500, 0.574), P at (0.166, 0.000, 0.335), Ir at (0.000, 0.500, 0.000), Se at (0.000, 0.500, 0.500) and Se at (0.170, 0.000, 0.833).

5.
## Pm2Y5HoTm (PBE-GGA)

Data for crystalline Pm2Y5HoTm at its relaxed geometry.

The value obtained for the formation energy is 25.7 kJ/mol of atoms. The total energy is -5.3858 eV per atom. The mass density comes out at 6.06 Mg/m³.

It has space group I4/mcm (No. 140), with a = 8.629 Å, b = 8.629 Å, c = 15.717 Å, α = 90.00°, β = 90.00° and γ = 90.00°. The distinct sites, in fractional coordinates, are Pm at (0.117, 0.383, 0.000), Y at (0.000, 0.000, 0.000), Y at (0.211, 0.289, 0.360), Ho at (0.000, 0.000, 0.250) and Tm at (0.000, 0.500, 0.250).

6.
## TlAgSb (PBE-GGA)

Data for crystalline TlAgSb at its relaxed geometry.

The distance to the lowest polymorph of the same formula is 49.0 meV per atom. The total energy is -3.0397 eV per atom. The mass density comes out at 9.10 Mg/m³. The formation energy from raw total energies is 0.074 eV per atom.

It has space group P3m1 (No. 156), with a = 5.0757 Å, b = 5.0757 Å, c = 3.5498 Å, α = 90.00°, β = 90.00° and γ = 120.00°. The distinct sites, in fractional coordinates, are Tl at (0.0000, 0.0000, 0.0000), Ag at (0.3333, 0.6667, 0.4986) and Sb at (0.6667, 0.3333, 0.5001).

7.
## Si2TcAu (PBE-GGA)

Data for crystalline Si2TcAu at its relaxed geometry.

The distance to the lowest polymorph of the same formula is 0.0 meV per atom. The total energy is -6.2857 eV per atom. The mass density comes out at 9.19 Mg/m³. The formation energy from raw total energies is -0.163 eV per atom.

It has space group Pmmm (No. 47), with a = 2.910 Å, b = 3.088 Å, c = 7.058 Å, α = 90.00°, β = 90.00° and γ = 90.00°. The distinct sites, in fractional coordinates, are Si at (0.000, 0.000, 0.196), Tc at (0.500, 0.500, 0.000) and Au at (0.500, 0.000, 0.500).

8.
## Y2Sc2Si2C (PBE-GGA)

Data for crystalline Y2Sc2Si2C at its relaxed geometry.

The total energy is -7.2953 eV per atom. The mass density comes out at 3.87 Mg/m³. The formation energy from raw total energies is -0.772 eV per atom.

It has space group I4/mmm (No. 139), with a = 4.386 Å, b = 4.386 Å, c = 14.996 Å, α = 90.00°, β = 90.00° and γ = 90.00°. The distinct sites, in fractional coordinates, are Y at (0.000, 0.000, 0.166), Sc at (0.000, 0.500, 0.000), Si at (0.000, 0.000, 0.368) and C at (0.000, 0.000, 0.000).

Among the records above, which one has the highest mass density? Si2TcAu